The following is a GGA-PBE calculation of a relaxed structure of MgBi2Pd6, from Alexandria.

a = 6.475 Å, b = 5.525 Å, c = 5.525 Å
α = 61.97°, β = 102.82°, γ = 102.82°
Positions (direct):
Mg 0.000 0.000 0.000
Bi 0.800 0.660 0.660
Bi 0.200 0.340 0.340
Pd 0.365 0.349 0.855
Pd 0.247 0.820 0.820
Pd 0.365 0.855 0.349
Pd 0.635 0.651 0.145
Pd 0.753 0.180 0.180
Pd 0.635 0.145 0.651

## Properties
Spin magnetization, μB per cell: 0.00
Symmetry: C2/m (12)
Crystal system: monoclinic
ΔE_f, eV/atom: -0.280
E_tot, eV per atom: -4.78
Density of states at the Fermi level, states/eV/cell: 5.08